# 1
DFT (PBE-GGA) results for Yb3Ag2 after structural relaxation. Values from VASP.

Results
Space-group type = P4/mbm, No. 127
Formation enthalpy at 0 K = -176 kJ/mol of formula units
DOS at the Fermi energy = 45.0 states/eV/f.u.
Density = 8873 kg/m3

```
&SYSTEM
  ibrav = 0, nat = 10, ntyp = 2
/
ATOMIC_SPECIES
Yb 173.04 Yb.upf
Ag 107.87 Ag.upf
CELL_PARAMETERS angstrom
8.120 0.000 0.000
0.000 8.120 0.000
0.000 0.000 4.171
ATOMIC_POSITIONS crystal
Yb 0.000 0.000 0.000
Yb 0.166 0.334 0.500
Yb 0.334 0.834 0.500
Yb 0.500 0.500 0.000
Yb 0.666 0.166 0.500
Yb 0.834 0.666 0.500
Ag 0.128 0.628 0.000
Ag 0.372 0.128 0.000
Ag 0.628 0.872 0.000
Ag 0.872 0.372 0.000
```

# 2
DFT (PBE-GGA) results for YbAg3 after structural relaxation. Values from VASP.

Results
Space-group type = P6_3/mmc, No. 194
Formation enthalpy at 0 K = -104 kJ/mol of formula units
DOS at the Fermi energy = 1.2 states/eV/f.u.
Density = 9984 kg/m3

```
&SYSTEM
  ibrav = 0, nat = 8, ntyp = 2
/
ATOMIC_SPECIES
Yb 173.04 Yb.upf
Ag 107.87 Ag.upf
CELL_PARAMETERS angstrom
6.217 0.000 0.000
-3.109 5.384 0.000
0.000 0.000 4.934
ATOMIC_POSITIONS crystal
Yb 0.333 0.667 0.250
Yb 0.667 0.333 0.750
Ag 0.160 0.320 0.750
Ag 0.160 0.840 0.750
Ag 0.320 0.160 0.250
Ag 0.680 0.840 0.750
Ag 0.840 0.160 0.250
Ag 0.840 0.680 0.250
```

# 3
DFT (PBE-GGA) results for Yb6Ag after structural relaxation. Values from VASP.

Results
Space-group type = Im-3m, No. 229
Formation enthalpy at 0 K = 721 kJ/mol of formula units
DOS at the Fermi energy = 97.4 states/eV/f.u.
Density = 3567 kg/m3

```
&SYSTEM
  ibrav = 0, nat = 14, ntyp = 2
/
ATOMIC_SPECIES
Yb 173.04 Yb.upf
Ag 107.87 Ag.upf
CELL_PARAMETERS angstrom
10.219 0.000 0.000
0.000 10.219 0.000
0.000 0.000 10.219
ATOMIC_POSITIONS crystal
Yb 0.000 0.250 0.500
Yb 0.000 0.500 0.250
Yb 0.000 0.500 0.750
Yb 0.000 0.750 0.500
Yb 0.250 0.000 0.500
Yb 0.250 0.500 0.000
Yb 0.500 0.000 0.250
Yb 0.500 0.000 0.750
Yb 0.500 0.250 0.000
Yb 0.500 0.750 0.000
Yb 0.750 0.000 0.500
Yb 0.750 0.500 0.000
Ag 0.000 0.000 0.000
Ag 0.500 0.500 0.500
```

# 4
DFT (PBE-GGA) results for YbAg3 after structural relaxation. Values from VASP.

Results
Space-group type = Fm-3m, No. 225
Formation enthalpy at 0 K = -77 kJ/mol of formula units
DOS at the Fermi energy = 15.9 states/eV/f.u.
Density = 9804 kg/m3

```
&SYSTEM
  ibrav = 0, nat = 16, ntyp = 2
/
ATOMIC_SPECIES
Yb 173.04 Yb.upf
Ag 107.87 Ag.upf
CELL_PARAMETERS angstrom
6.955 0.000 0.000
0.000 6.955 0.000
0.000 0.000 6.955
ATOMIC_POSITIONS crystal
Yb 0.000 0.000 0.000
Yb 0.000 0.500 0.500
Yb 0.500 0.000 0.500
Yb 0.500 0.500 0.000
Ag 0.000 0.000 0.500
Ag 0.000 0.500 0.000
Ag 0.250 0.250 0.250
Ag 0.250 0.250 0.750
Ag 0.250 0.750 0.250
Ag 0.250 0.750 0.750
Ag 0.500 0.000 0.000
Ag 0.500 0.500 0.500
Ag 0.750 0.250 0.250
Ag 0.750 0.250 0.750
Ag 0.750 0.750 0.250
Ag 0.750 0.750 0.750
```

# 5
DFT (PBE-GGA) results for Yb3Ag after structural relaxation. Values from VASP.

Results
Space-group type = Pm-3m, No. 221
Formation enthalpy at 0 K = -64 kJ/mol of formula units
DOS at the Fermi energy = 38.3 states/eV/f.u.
Density = 8941 kg/m3

```
&SYSTEM
  ibrav = 0, nat = 4, ntyp = 2
/
ATOMIC_SPECIES
Yb 173.04 Yb.upf
Ag 107.87 Ag.upf
CELL_PARAMETERS angstrom
4.883 0.000 0.000
0.000 4.883 0.000
0.000 0.000 4.883
ATOMIC_POSITIONS crystal
Yb 0.000 0.000 0.500
Yb 0.000 0.500 0.000
Yb 0.500 0.000 0.000
Ag 0.500 0.500 0.500
```

# 6
DFT (PBE-GGA) results for YbAg6 after structural relaxation. Values from VASP.

Results
Space-group type = Im-3m, No. 229
Formation enthalpy at 0 K = 309 kJ/mol of formula units
DOS at the Fermi energy = 19.3 states/eV/f.u.
Density = 6686 kg/m3

```
&SYSTEM
  ibrav = 0, nat = 14, ntyp = 2
/
ATOMIC_SPECIES
Yb 173.04 Yb.upf
Ag 107.87 Ag.upf
CELL_PARAMETERS angstrom
7.413 0.000 0.000
0.000 7.413 0.000
0.000 0.000 7.413
ATOMIC_POSITIONS crystal
Yb 0.000 0.000 0.000
Yb 0.500 0.500 0.500
Ag 0.000 0.250 0.500
Ag 0.000 0.500 0.250
Ag 0.000 0.500 0.750
Ag 0.000 0.750 0.500
Ag 0.250 0.000 0.500
Ag 0.250 0.500 0.000
Ag 0.500 0.000 0.250
Ag 0.500 0.000 0.750
Ag 0.500 0.250 0.000
Ag 0.500 0.750 0.000
Ag 0.750 0.000 0.500
Ag 0.750 0.500 0.000
```

# 7
DFT (PBE-GGA) results for Yb2Ag7 after structural relaxation. Values from VASP.

Results
Space-group type = Cmcm, No. 63
Formation enthalpy at 0 K = -204 kJ/mol of formula units
DOS at the Fermi energy = 33.1 states/eV/f.u.
Density = 9730 kg/m3

```
&SYSTEM
  ibrav = 0, nat = 18, ntyp = 2
/
ATOMIC_SPECIES
Yb 173.04 Yb.upf
Ag 107.87 Ag.upf
CELL_PARAMETERS angstrom
4.753 -2.780 0.000
4.753 2.780 0.000
0.000 0.000 14.225
ATOMIC_POSITIONS crystal
Yb 0.179 0.821 0.616
Yb 0.179 0.821 0.884
Yb 0.821 0.179 0.116
Yb 0.821 0.179 0.384
Ag 0.163 0.512 0.075
Ag 0.163 0.512 0.425
Ag 0.175 0.325 0.750
Ag 0.323 0.677 0.250
Ag 0.325 0.175 0.250
Ag 0.488 0.837 0.075
Ag 0.488 0.837 0.425
Ag 0.512 0.163 0.575
Ag 0.512 0.163 0.925
Ag 0.675 0.825 0.750
Ag 0.677 0.323 0.750
Ag 0.825 0.675 0.250
Ag 0.837 0.488 0.575
Ag 0.837 0.488 0.925
```

# 8
DFT (PBE-GGA) results for Yb2ZnAg after structural relaxation. Values from VASP.

Results
Space-group type = Fm-3m, No. 225
Formation enthalpy at 0 K = -141 kJ/mol of formula units
DOS at the Fermi energy = 3.3 states/eV/f.u.
Density = 9003 kg/m3

```
&SYSTEM
  ibrav = 0, nat = 16, ntyp = 3
/
ATOMIC_SPECIES
Yb 173.04 Yb.upf
Zn 65.41 Zn.upf
Ag 107.87 Ag.upf
CELL_PARAMETERS angstrom
7.263 0.000 0.000
0.000 7.263 0.000
0.000 0.000 7.263
ATOMIC_POSITIONS crystal
Yb 0.250 0.250 0.250
Yb 0.250 0.250 0.750
Yb 0.250 0.750 0.250
Yb 0.250 0.750 0.750
Yb 0.750 0.250 0.250
Yb 0.750 0.250 0.750
Yb 0.750 0.750 0.250
Yb 0.750 0.750 0.750
Zn 0.000 0.000 0.000
Zn 0.000 0.500 0.500
Zn 0.500 0.000 0.500
Zn 0.500 0.500 0.000
Ag 0.000 0.000 0.500
Ag 0.000 0.500 0.000
Ag 0.500 0.000 0.000
Ag 0.500 0.500 0.500
```

# 9
DFT (PBE-GGA) results for ZnAg2 after structural relaxation. Values from VASP.

Results
Space-group type = Pnma, No. 62
Formation enthalpy at 0 K = -5 kJ/mol of formula units
DOS at the Fermi energy = 1.1 states/eV/f.u.
Density = 9271 kg/m3

```
&SYSTEM
  ibrav = 0, nat = 12, ntyp = 2
/
ATOMIC_SPECIES
Zn 65.41 Zn.upf
Ag 107.87 Ag.upf
CELL_PARAMETERS angstrom
5.614 0.000 0.000
0.000 4.458 0.000
0.000 0.000 8.049
ATOMIC_POSITIONS crystal
Zn 0.187 0.250 0.100
Zn 0.313 0.750 0.600
Zn 0.687 0.250 0.400
Zn 0.813 0.750 0.900
Ag 0.040 0.250 0.775
Ag 0.177 0.250 0.432
Ag 0.323 0.750 0.932
Ag 0.460 0.750 0.275
Ag 0.540 0.250 0.725
Ag 0.677 0.250 0.068
Ag 0.823 0.750 0.568
Ag 0.960 0.750 0.225
```

# 10
DFT (PBE-GGA) results for Zn6Ag after structural relaxation. Values from VASP.

Results
Space-group type = Pm-3m, No. 221
Formation enthalpy at 0 K = 474 kJ/mol of formula units
DOS at the Fermi energy = 5.3 states/eV/f.u.
Density = 3612 kg/m3

```
&SYSTEM
  ibrav = 0, nat = 7, ntyp = 2
/
ATOMIC_SPECIES
Zn 65.41 Zn.upf
Ag 107.87 Ag.upf
CELL_PARAMETERS angstrom
6.127 0.000 0.000
0.000 6.127 0.000
0.000 0.000 6.127
ATOMIC_POSITIONS crystal
Zn 0.000 0.000 0.305
Zn 0.000 0.000 0.695
Zn 0.000 0.305 0.000
Zn 0.000 0.695 0.000
Zn 0.305 0.000 0.000
Zn 0.695 0.000 0.000
Ag 0.500 0.500 0.500
```

# 11
DFT (PBE-GGA) results for Zn13Ag2 after structural relaxation. Values from VASP.

Results
Space-group type = R-3m, No. 166
Formation enthalpy at 0 K = 204 kJ/mol of formula units
DOS at the Fermi energy = 5.1 states/eV/f.u.
Density = 6223 kg/m3

```
&SYSTEM
  ibrav = 0, nat = 15, ntyp = 2
/
ATOMIC_SPECIES
Zn 65.41 Zn.upf
Ag 107.87 Ag.upf
CELL_PARAMETERS angstrom
3.622 2.091 6.260
-3.622 2.091 6.260
0.000 -4.182 6.260
ATOMIC_POSITIONS crystal
Zn 0.000 0.000 0.000
Zn 0.016 0.016 0.644
Zn 0.016 0.644 0.016
Zn 0.244 0.244 0.603
Zn 0.244 0.603 0.244
Zn 0.356 0.984 0.984
Zn 0.397 0.756 0.756
Zn 0.603 0.244 0.244
Zn 0.644 0.016 0.016
Zn 0.756 0.397 0.756
Zn 0.756 0.756 0.397
Zn 0.984 0.356 0.984
Zn 0.984 0.984 0.356
Ag 0.235 0.235 0.235
Ag 0.765 0.765 0.765
```

# 12
DFT (PBE-GGA) results for ZnAg2 after structural relaxation. Values from VASP.

Results
Space-group type = Immm, No. 71
Formation enthalpy at 0 K = -6 kJ/mol of formula units
DOS at the Fermi energy = 0.8 states/eV/f.u.
Density = 9302 kg/m3

```
&SYSTEM
  ibrav = 0, nat = 6, ntyp = 2
/
ATOMIC_SPECIES
Zn 65.41 Zn.upf
Ag 107.87 Ag.upf
CELL_PARAMETERS angstrom
3.028 0.000 0.000
0.000 3.478 0.000
0.000 0.000 9.532
ATOMIC_POSITIONS crystal
Zn 0.000 0.000 0.000
Zn 0.500 0.500 0.500
Ag 0.000 0.000 0.342
Ag 0.000 0.000 0.658
Ag 0.500 0.500 0.158
Ag 0.500 0.500 0.842
```